DFT (GGA-PBE) results for crystalline Cs3KCu2Cl6 at its relaxed geometry.

Properties
- Formation energy from raw total energies: -1.428 eV per atom

a = 7.8473 Å, b = 7.8473 Å, c = 9.1643 Å
α = 90.00°, β = 90.00°, γ = 120.00°
Closest atoms and distances in Å follow each position.
Space group P-3m1 (No. 164)
Inequivalent atoms, fractional coordinates:
Cs 0.0000 0.0000 0.0000 [1 per cell]  6 Cl 3.46
Cs 0.3333 0.6667 0.6686 [2 per cell]  1 Cu 3.64, 6 Cl 3.95
K 0.0000 0.0000 0.5000 [1 per cell]  6 Cl 3.06
Cu 0.3333 0.6667 0.2717 [2 per cell]  3 Cl 2.22
Cl 0.1700 0.3399 0.2810 [6 per cell]  1 Cu 2.22

***

DFT (GGA-PBE) results for crystalline Cr2Si at its relaxed geometry.

Properties
- Formation energy from raw total energies: 0.539 eV per atom

a = 3.8064 Å, b = 3.8064 Å, c = 2.9681 Å
α = 90.00°, β = 90.00°, γ = 90.00°
Closest atoms and distances in Å follow each position.
Space group P4/mmm (No. 123)
Inequivalent atoms, fractional coordinates:
Cr 0.0000 0.5000 0.0000 [2 per cell]  4 Si 2.41, 4 Cr 2.69
Si 0.0000 0.0000 0.5000 [1 per cell]  8 Cr 2.41

***

DFT total energy in eV per atom, matching the order above: -3.3393, -7.6843
V in Å³ per atom, matching the order above: 40.727, 14.335
DOS at the Fermi energy in states/eV per atom, matching the order above: 0.00, 1.60